Density functional theory data (PBE-GGA) for a relaxed structure of Pr2Dy4HoTh.

It has space group Pmmm (No. 47), with a = 5.9262 Å, b = 5.9318 Å, c = 7.4580 Å, α = 90.00°, β = 90.00° and γ = 90.00°. The inequivalent atoms are Pr at (0.0000, 0.0000, 0.0000), Pr at (0.5000, 0.5000, 0.5000), Dy at (0.0000, 0.5000, 0.2505), Dy at (0.5000, 0.0000, 0.2491), Ho at (0.0000, 0.0000, 0.5000) and Th at (0.5000, 0.5000, 0.0000).

The calculation puts the magnetic moment at 0.00 μB/f.u. For the formation energy, the calculation gives 0.12 eV per atom. The total energy comes out at -4.875 eV per atom.


Density functional theory data (PBE-GGA) for a relaxed structure of PrDy2Ho4Th.

It has space group Pmmm (No. 47), with a = 5.0511 Å, b = 5.0669 Å, c = 9.9875 Å, α = 90.00°, β = 90.00° and γ = 90.00°. The inequivalent atoms are Pr at (0.0000, 0.0000, 0.0000), Dy at (0.0000, 0.0000, 0.5000), Dy at (0.5000, 0.5000, 0.0000), Ho at (0.0000, 0.5000, 0.2544), Ho at (0.5000, 0.0000, 0.2549) and Th at (0.5000, 0.5000, 0.5000).

The calculation puts the magnetic moment at 0.00 μB/f.u. For the formation energy, the calculation gives 0.03 eV per atom. The total energy comes out at -4.933 eV per atom.


Density functional theory data (PBE-GGA) for a relaxed structure of Pr3Dy6HoTh2.

It has space group C2/m (No. 12), with a = 6.2264 Å, b = 10.7770 Å, c = 11.8366 Å, α = 90.00°, β = 100.10° and γ = 90.00°. The inequivalent atoms are Pr at (0.0000, 0.0000, 0.0000), Pr at (0.0000, 0.3336, 0.0000), Dy at (0.2439, 0.0000, 0.7442), Dy at (0.2501, 0.1686, 0.2561), Ho at (0.0000, 0.5000, 0.5000) and Th at (0.0000, 0.1666, 0.5000).

The calculation puts the magnetic moment at 0.00 μB/f.u. For the formation energy, the calculation gives 0.02 eV per atom. The total energy comes out at -5.095 eV per atom.


Density functional theory data (PBE-GGA) for a relaxed structure of Pr3Dy2Ho6Th.

It has space group C2/m (No. 12), with a = 6.2111 Å, b = 10.7541 Å, c = 11.8146 Å, α = 90.00°, β = 100.10° and γ = 90.00°. The inequivalent atoms are Pr at (0.0000, 0.0000, 0.0000), Pr at (0.0000, 0.3328, 0.0000), Dy at (0.0000, 0.1667, 0.5000), Ho at (0.2472, 0.3351, 0.7455), Ho at (0.2475, 0.5000, 0.2544) and Th at (0.0000, 0.5000, 0.5000).

The calculation puts the magnetic moment at 0.00 μB/f.u. For the formation energy, the calculation gives 0.02 eV per atom. The total energy comes out at -4.848 eV per atom.


Density functional theory data (PBE-GGA) for a relaxed structure of Pr2DyHo4Th.

It has space group C2/c (No. 15), with a = 13.6349 Å, b = 13.3118 Å, c = 6.8100 Å, α = 90.00°, β = 119.96° and γ = 90.00°. The inequivalent atoms are Pr at (0.0000, 0.0000, 0.0000), Pr at (0.2500, 0.2500, 0.0000), Dy at (0.0000, 0.5000, 0.0000), Ho at (0.9999, 0.2543, 0.0076), Ho at (0.2463, 0.4992, 0.4952) and Th at (0.2500, 0.2500, 0.5000).

The calculation puts the magnetic moment at 0.00 μB/f.u. For the formation energy, the calculation gives 0.42 eV per atom. The total energy comes out at -4.562 eV per atom.


Density functional theory data (PBE-GGA) for a relaxed structure of Pr4Dy2HoTh.

It has space group Cmcm (No. 63), with a = 5.6532 Å, b = 11.8198 Å, c = 16.8155 Å, α = 90.00°, β = 90.00° and γ = 90.00°. The inequivalent atoms are Pr at (0.0000, 0.0000, 0.0000), Pr at (0.0000, 0.2931, 0.0748), Pr at (0.0000, 0.4136, 0.2500), Dy at (0.0000, 0.3952, 0.6085), Ho at (0.0000, 0.1943, 0.7500) and Th at (0.0000, 0.1119, 0.2500).

The calculation puts the magnetic moment at 0.00 μB/f.u. For the formation energy, the calculation gives 0.24 eV per atom. The total energy comes out at -4.797 eV per atom.


Density functional theory data (PBE-GGA) for a relaxed structure of PrDy5HoTh2.

It has space group I4/mcm (No. 140), with a = 8.7332 Å, b = 8.7332 Å, c = 15.6233 Å, α = 90.00°, β = 90.00° and γ = 90.00°. The inequivalent atoms are Pr at (0.0000, 0.5000, 0.2500), Dy at (0.0000, 0.0000, 0.0000), Dy at (0.2082, 0.2918, 0.1394), Ho at (0.0000, 0.0000, 0.2500) and Th at (0.1197, 0.3803, 0.5000).

The calculation puts the magnetic moment at 0.00 μB/f.u. For the formation energy, the calculation gives 0.33 eV per atom. The total energy comes out at -4.918 eV per atom.


Density functional theory data (PBE-GGA) for a relaxed structure of Pr6Dy2HoTh.

It has space group C2/c (No. 15), with a = 9.4138 Å, b = 15.1380 Å, c = 9.8461 Å, α = 90.00°, β = 98.47° and γ = 90.00°. The inequivalent atoms are Pr at (0.0669, 0.1753, 0.4430), Pr at (0.0947, 0.3945, 0.6187), Pr at (0.2085, 0.2168, 0.8115), Dy at (0.2431, 0.0446, 0.0505), Ho at (0.0000, 0.4079, 0.2500) and Th at (0.0000, 0.0277, 0.7500).

The calculation puts the magnetic moment at 0.00 μB/f.u. For the formation energy, the calculation gives 0.14 eV per atom. The total energy comes out at -4.846 eV per atom.


Density functional theory data (PBE-GGA) for a relaxed structure of PrDy2HoTl4.

It has space group R-3m (No. 166, hexagonal axes), with a = 5.4102 Å, b = 5.4102 Å, c = 26.6082 Å, α = 90.00°, β = 90.00° and γ = 120.00°. The inequivalent atoms are Pr at (0.0000, 0.0000, 0.0000), Dy at (0.0000, 0.0000, 0.2493), Ho at (0.0000, 0.0000, 0.5000), Tl at (0.0000, 0.0000, 0.1269) and Tl at (0.0000, 0.0000, 0.3771).

The calculation puts the magnetic moment at 0.00 μB/f.u. For the formation energy, the calculation gives -0.34 eV per atom. The total energy comes out at -3.848 eV per atom.


Density functional theory data (PBE-GGA) for a relaxed structure of PrDyHoTl.

It has space group Pmmm (No. 47), with a = 4.8463 Å, b = 4.9271 Å, c = 4.9483 Å, α = 90.00°, β = 90.00° and γ = 90.00°. The inequivalent atoms are Pr at (0.0000, 0.0000, 0.0000), Dy at (0.5000, 0.5000, 0.0000), Ho at (0.5000, 0.0000, 0.5000) and Tl at (0.0000, 0.5000, 0.5000).

The calculation puts the magnetic moment at 0.15 μB/f.u. For the formation energy, the calculation gives -0.18 eV per atom. The value obtained for the energy relative to the lowest polymorph listed for this composition is 0.000 eV per atom. The total energy comes out at -4.262 eV per atom.


Density functional theory data (PBE-GGA) for a relaxed structure of PrDy2HoTl2.

It has space group Pmc2_1 (No. 26), with a = 5.1529 Å, b = 10.0792 Å, c = 6.8520 Å, α = 90.00°, β = 90.00° and γ = 90.00°. The inequivalent atoms are Pr at (0.0000, 0.0429, 0.0000), Dy at (0.0000, 0.3186, 0.3785), Dy at (0.5000, 0.4554, 0.0928), Ho at (0.5000, 0.1926, 0.7224), Tl at (0.0000, 0.3672, 0.8393) and Tl at (0.5000, 0.1388, 0.2644).

The calculation puts the magnetic moment at 0.00 μB/f.u. For the formation energy, the calculation gives -0.27 eV per atom. The total energy comes out at -4.149 eV per atom.


Density functional theory data (PBE-GGA) for a relaxed structure of PrDyHo2Tl2.

It has space group Pmc2_1 (No. 26), with a = 5.1474 Å, b = 10.0791 Å, c = 6.8318 Å, α = 90.00°, β = 90.00° and γ = 90.00°. The inequivalent atoms are Pr at (0.0000, 0.0422, 0.0000), Dy at (0.5000, 0.1927, 0.7239), Ho at (0.0000, 0.3189, 0.3785), Ho at (0.5000, 0.4563, 0.0932), Tl at (0.0000, 0.3687, 0.8398) and Tl at (0.5000, 0.1409, 0.2634).

The calculation puts the magnetic moment at 0.00 μB/f.u. For the formation energy, the calculation gives -0.27 eV per atom. The total energy comes out at -4.143 eV per atom.


Density functional theory data (PBE-GGA) for a relaxed structure of PrDyHoTl.

It has space group F-43m (No. 216), with a = 7.8313 Å, b = 7.8313 Å, c = 7.8313 Å, α = 90.00°, β = 90.00° and γ = 90.00°. The inequivalent atoms are Pr at (0.0000, 0.0000, 0.0000), Dy at (0.0000, 0.0000, 0.5000), Ho at (0.2500, 0.2500, 0.7500) and Tl at (0.2500, 0.2500, 0.2500).

The calculation puts the magnetic moment at 1.25 μB/f.u. For the formation energy, the calculation gives -0.05 eV per atom. The value obtained for the energy relative to the lowest polymorph listed for this composition is 0.133 eV per atom. The total energy comes out at -4.129 eV per atom.


Density functional theory data (PBE-GGA) for a relaxed structure of PrDyHo2Tl4.

It has space group R-3m (No. 166, hexagonal axes), with a = 5.4056 Å, b = 5.4056 Å, c = 26.5729 Å, α = 90.00°, β = 90.00° and γ = 120.00°. The inequivalent atoms are Pr at (0.0000, 0.0000, 0.0000), Dy at (0.0000, 0.0000, 0.5000), Ho at (0.0000, 0.0000, 0.2495), Tl at (0.0000, 0.0000, 0.1268) and Tl at (0.0000, 0.0000, 0.3770).

The calculation puts the magnetic moment at 0.00 μB/f.u. For the formation energy, the calculation gives -0.34 eV per atom. The total energy comes out at -3.841 eV per atom.


Density functional theory data (PBE-GGA) for a relaxed structure of Pr2DyHoTl2.

It has space group Pmc2_1 (No. 26), with a = 5.1626 Å, b = 10.2682 Å, c = 6.8988 Å, α = 90.00°, β = 90.00° and γ = 90.00°. The inequivalent atoms are Pr at (0.0000, 0.0436, 0.0000), Pr at (0.5000, 0.1881, 0.2663), Dy at (0.5000, 0.4590, 0.8996), Ho at (0.0000, 0.3165, 0.6187), Tl at (0.0000, 0.3773, 0.1558) and Tl at (0.5000, 0.1470, 0.7384).

The calculation puts the magnetic moment at 0.00 μB/f.u. For the formation energy, the calculation gives -0.27 eV per atom. The total energy comes out at -4.179 eV per atom.


Density functional theory data (PBE-GGA) for a relaxed structure of Pr6Dy2Ho3Tl.

It has space group C2/m (No. 12), with a = 6.2357 Å, b = 10.8343 Å, c = 11.8654 Å, α = 90.00°, β = 100.24° and γ = 90.00°. The inequivalent atoms are Pr at (0.2450, 0.0000, 0.2496), Pr at (0.2468, 0.1641, 0.7490), Dy at (0.0000, 0.3337, 0.5000), Ho at (0.0000, 0.1676, 0.0000), Ho at (0.0000, 0.5000, 0.0000) and Tl at (0.0000, 0.0000, 0.5000).

The calculation puts the magnetic moment at 0.00 μB/f.u. For the formation energy, the calculation gives -0.01 eV per atom. The total energy comes out at -4.506 eV per atom.


Density functional theory data (PBE-GGA) for a relaxed structure of Pr2Dy5HoTm.

It has space group I4/mcm (No. 140), with a = 8.5728 Å, b = 8.5728 Å, c = 15.9500 Å, α = 90.00°, β = 90.00° and γ = 90.00°. The inequivalent atoms are Pr at (0.1193, 0.3807, 0.0000), Dy at (0.0000, 0.0000, 0.0000), Dy at (0.2152, 0.2848, 0.3576), Ho at (0.0000, 0.0000, 0.2500) and Tm at (0.0000, 0.5000, 0.2500).

The calculation puts the magnetic moment at 0.00 μB/f.u. For the formation energy, the calculation gives 0.28 eV per atom. The total energy comes out at -4.349 eV per atom.


Density functional theory data (PBE-GGA) for a relaxed structure of PrDy2Ho6Tm3.

It has space group C2/m (No. 12), with a = 6.1215 Å, b = 10.5902 Å, c = 11.7072 Å, α = 90.00°, β = 100.00° and γ = 90.00°. The inequivalent atoms are Pr at (0.0000, 0.0000, 0.0000), Dy at (0.0000, 0.3334, 0.0000), Ho at (0.2476, 0.3330, 0.7468), Ho at (0.2489, 0.0000, 0.7468), Tm at (0.0000, 0.1670, 0.5000) and Tm at (0.0000, 0.5000, 0.5000).

The calculation puts the magnetic moment at 0.00 μB/f.u. For the formation energy, the calculation gives 0.02 eV per atom. The total energy comes out at -4.550 eV per atom.


Density functional theory data (PBE-GGA) for a relaxed structure of Pr2DyHoTm2.

It has space group Pmma (No. 51), with a = 7.0179 Å, b = 5.6514 Å, c = 9.7885 Å, α = 90.00°, β = 90.00° and γ = 90.00°. The inequivalent atoms are Pr at (0.0000, 0.0000, 0.0000), Pr at (0.2500, 0.5000, 0.1775), Dy at (0.2500, 0.0000, 0.6593), Ho at (0.0000, 0.5000, 0.5000), Tm at (0.2500, 0.0000, 0.3337) and Tm at (0.2500, 0.5000, 0.8353).

The calculation puts the magnetic moment at 0.00 μB/f.u. For the formation energy, the calculation gives 0.07 eV per atom. The total energy comes out at -4.543 eV per atom.


Density functional theory data (PBE-GGA) for a relaxed structure of Pr4DyHo2Tm2.

It has space group C2/m (No. 12), with a = 15.3136 Å, b = 5.0914 Å, c = 8.0467 Å, α = 90.00°, β = 108.37° and γ = 90.00°. The inequivalent atoms are Pr at (0.0534, 0.0000, 0.3297), Pr at (0.2230, 0.5000, 0.3309), Dy at (0.0000, 0.5000, 0.0000), Ho at (0.1115, 0.5000, 0.6705) and Tm at (0.1678, 0.0000, 0.9996).

The calculation puts the magnetic moment at 0.00 μB/f.u. For the formation energy, the calculation gives 0.03 eV per atom. The total energy comes out at -4.621 eV per atom.


Density functional theory data (PBE-GGA) for a relaxed structure of PrDy3Ho6Tm2.

It has space group C2/m (No. 12), with a = 6.1253 Å, b = 10.5984 Å, c = 11.7273 Å, α = 90.00°, β = 99.95° and γ = 90.00°. The inequivalent atoms are Pr at (0.0000, 0.0000, 0.0000), Dy at (0.0000, 0.1671, 0.5000), Dy at (0.0000, 0.5000, 0.5000), Ho at (0.2487, 0.3328, 0.7492), Ho at (0.2504, 0.0000, 0.7493) and Tm at (0.0000, 0.3333, 0.0000).

The calculation puts the magnetic moment at 0.00 μB/f.u. For the formation energy, the calculation gives 0.02 eV per atom. The total energy comes out at -4.563 eV per atom.